1.
Na2Nb2PdSe6: optimized geometry, GGA-PBE.

It has space group C2/m (No. 12), with a = 6.483 Å, b = 11.046 Å, c = 7.470 Å, α = 90.00°, β = 104.60° and γ = 90.00°. Symmetry generates all atoms from Na at (0.000, 0.176, 0.000), Nb at (0.000, 0.368, 0.500), Pd at (0.000, 0.000, 0.500), Se at (0.187, 0.500, 0.769) and Se at (0.210, 0.173, 0.690).

Its density of states at the Fermi level is 0.31 states/eV per atom. The value obtained for the raw total energy is -5.183 eV/atom.

=====

2.
NaNbSnPd2: optimized geometry, GGA-PBE.

It has space group P4/mmm (No. 123), with a = 4.944 Å, b = 4.944 Å, c = 5.111 Å, α = 90.00°, β = 90.00° and γ = 90.00°. Symmetry generates all atoms from Na at (0.000, 0.000, 0.000), Nb at (0.500, 0.500, 0.000), Sn at (0.000, 0.000, 0.500) and Pd at (0.000, 0.500, 0.500).

Its energy above the most stable polymorph in this dataset is 0.0 meV/atom. The value obtained for the formation energy is 946 meV/atom. Its density of states at the Fermi level is 0.99 states/eV per atom. The value obtained for the raw total energy is -4.210 eV/atom.

=====

3.
NaNbSnPd2: optimized geometry, GGA-PBE.

It has space group P4/mmm (No. 123), with a = 4.507 Å, b = 4.507 Å, c = 5.026 Å, α = 90.00°, β = 90.00° and γ = 90.00°. Symmetry generates all atoms from Na at (0.000, 0.000, 0.000), Nb at (0.000, 0.000, 0.500), Sn at (0.500, 0.500, 0.500) and Pd at (0.000, 0.500, 0.000).

Its energy above the most stable polymorph in this dataset is 135.1 meV/atom. The value obtained for the formation energy is 1081 meV/atom. Its density of states at the Fermi level is 0.56 states/eV per atom. The value obtained for the raw total energy is -4.075 eV/atom.

=====

4.
NaNb2TcPd: optimized geometry, GGA-PBE.

It has space group P4/mmm (No. 123), with a = 4.709 Å, b = 4.709 Å, c = 5.143 Å, α = 90.00°, β = 90.00° and γ = 90.00°. Symmetry generates all atoms from Na at (0.000, 0.000, 0.000), Nb at (0.000, 0.500, 0.500), Tc at (0.000, 0.000, 0.500) and Pd at (0.500, 0.500, 0.000).

The value obtained for the formation energy is 1196 meV/atom. Its density of states at the Fermi level is 1.15 states/eV per atom. The value obtained for the raw total energy is -6.207 eV/atom.

=====

5.
NaNbTe3Pd: optimized geometry, GGA-PBE.

It has space group P2_1/m (No. 11), with a = 8.419 Å, b = 3.816 Å, c = 10.456 Å, α = 90.00°, β = 110.82° and γ = 90.00°. Symmetry generates all atoms from Na at (0.229, 0.250, 0.203), Nb at (0.214, 0.750, 0.681), Te at (0.065, 0.750, 0.381), Te at (0.229, 0.750, 0.947), Te at (0.432, 0.250, 0.636) and Pd at (0.426, 0.250, 0.888).

Its density of states at the Fermi level is 0.23 states/eV per atom. The value obtained for the raw total energy is -4.895 eV/atom.

=====

6.
NaNbVPd: optimized geometry, GGA-PBE.

It has space group Cm (No. 8), with a = 11.191 Å, b = 2.657 Å, c = 4.983 Å, α = 90.00°, β = 109.40° and γ = 90.00°. Symmetry generates all atoms from Na at (0.000, 0.000, 0.000), Nb at (0.204, 0.000, 0.609), V at (0.269, 0.500, 0.156) and Pd at (0.462, 0.000, 0.488).

Its energy above the most stable polymorph in this dataset is 220.6 meV/atom. The value obtained for the formation energy is 322 meV/atom. Its density of states at the Fermi level is 1.03 states/eV per atom. The value obtained for the raw total energy is -6.103 eV/atom.

=====

The highest raw total energy belongs to which entry? number 3

=====

Which value of raw total energy does entry 4 give? -6.207 eV/atom

=====

raw total energy of number 4 (NaNb2TcPd)? -6.207 eV/atom